[1]
## Pm3SiSe (PBE-GGA)

Data for an optimized crystal structure of Pm3SiSe.

```
Pm3SiSe
1.0
4.137 0.000 0.000
-2.068 6.535 0.000
0.000 0.000 10.454
Se Si Pm
2 2 6
direct
0.000 0.000 0.500
0.000 0.000 0.000
0.741 0.481 0.750
0.259 0.519 0.250
0.349 0.699 0.923
0.920 0.840 0.250
0.651 0.301 0.423
0.651 0.301 0.077
0.349 0.699 0.577
0.080 0.160 0.750
```

The value obtained for the formation energy without anion corrections is -1010 meV per atom. As for the symmetry: Cmcm. The value obtained for the density of states at the Fermi level is 4.83 states/eV/f.u.

---

[2]
## Pm6Si2Se (PBE-GGA)

Data for an optimized crystal structure of Pm6Si2Se.

```
Pm6Si2Se
1.0
-1.683 1.343 3.684
-7.438 -0.631 -3.169
3.327 -6.328 3.828
Se Pm Si
1 6 2
direct
0.500 0.000 0.000
0.000 0.000 0.733
0.000 0.733 0.000
0.000 0.267 0.267
0.500 0.587 0.587
0.500 0.000 0.413
0.500 0.413 0.000
0.000 0.667 0.333
0.000 0.333 0.667
```

The value obtained for the formation energy without anion corrections is -669 meV per atom. As for the symmetry: P-62m. The value obtained for the density of states at the Fermi level is 8.01 states/eV/f.u.

---

[3]
## Pm12Si6Se (PBE-GGA)

Data for an optimized crystal structure of Pm12Si6Se.

```
Pm12Si6Se
1.0
8.869 -0.378 -0.532
-2.565 8.498 -0.532
-2.565 -3.304 7.848
Pm Se Si
12 1 6
direct
0.861 0.139 0.500
0.610 0.610 0.856
0.856 0.610 0.610
0.390 0.390 0.144
0.861 0.500 0.139
0.139 0.861 0.500
0.139 0.500 0.861
0.610 0.856 0.610
0.500 0.139 0.861
0.390 0.144 0.390
0.500 0.861 0.139
0.144 0.390 0.390
0.000 0.000 0.000
0.262 0.666 0.262
0.738 0.738 0.334
0.738 0.334 0.738
0.666 0.262 0.262
0.262 0.262 0.666
0.334 0.738 0.738
```

The value obtained for the formation energy without anion corrections is -333 meV per atom. As for the symmetry: R-3m. The value obtained for the density of states at the Fermi level is 16.17 states/eV/f.u.

---

[4]
## Pm3SiSe6 (PBE-GGA)

Data for an optimized crystal structure of Pm3SiSe6.

```
Pm3SiSe6
1.0
6.924 0.000 0.000
0.000 9.084 0.057
0.000 -1.972 8.867
Si Se Pm
2 12 6
direct
0.529 0.798 0.202
0.029 0.202 0.798
0.659 0.957 0.043
0.682 0.216 0.784
0.694 0.901 0.428
0.194 0.428 0.901
0.686 0.628 0.695
0.186 0.695 0.628
0.182 0.784 0.216
0.694 0.572 0.099
0.194 0.099 0.572
0.159 0.043 0.957
0.686 0.305 0.372
0.186 0.372 0.305
0.984 0.721 0.915
0.887 0.597 0.403
0.984 0.085 0.279
0.387 0.403 0.597
0.484 0.915 0.721
0.484 0.279 0.085
```

The value obtained for the formation energy without anion corrections is -1434 meV per atom. As for the symmetry: Cmc2_1. The value obtained for the density of states at the Fermi level is 3.68 states/eV/f.u.

---

Results for total moment: 0.00, 0.22, 0.00, 0.00 (in μB per atom, following the order of the records).